# PmH2OsO6

A relaxed structure of PmH2OsO6 (GGA-PBE, Alexandria).

Lattice parameters (Å, degrees): 5.158 5.223 5.859 64.84 65.26 63.16
Fractional coordinates of all 10 atoms:
Pm (0.000, 0.000, 0.000)
H (0.223, 0.376, 0.300)
H (0.956, 0.701, 0.690)
Os (0.534, 0.484, 0.491)
O (0.117, 0.725, 0.719)
O (0.274, 0.555, 0.255)
O (0.391, 0.172, 0.693)
O (0.549, 0.849, 0.271)
O (0.723, 0.434, 0.717)
O (0.872, 0.271, 0.285)

- Mass density: 5.88 Mg/m³
- Raw total energy: -68.076 eV/cell
- DOS at the Fermi energy: 1.55 states/eV/cell
- Total magnetic moment: 1.02 Bohr magnetons per cell


# RbHOs2O

A relaxed structure of RbHOs2O (GGA-PBE, Alexandria).

Lattice parameters (Å, degrees): 3.885 3.885 7.069 90.00 90.00 90.00
Fractional coordinates of all 5 atoms:
Rb (0.000, 0.000, 0.000)
H (0.500, 0.500, 0.000)
Os (0.000, 0.500, 0.500)
Os (0.500, 0.000, 0.500)
O (0.000, 0.000, 0.500)

- Mass density: 7.51 Mg/m³
- Raw total energy: -27.074 eV/cell
- DOS at the Fermi energy: 5.77 states/eV/cell
- Total magnetic moment: 0.00 Bohr magnetons per cell


# Re2HOsO

A relaxed structure of Re2HOsO (GGA-PBE, Alexandria).

Lattice parameters (Å, degrees): 3.925 3.925 3.980 90.00 90.00 90.00
Fractional coordinates of all 5 atoms:
Re (0.000, 0.500, 0.000)
Re (0.500, 0.000, 0.000)
H (0.000, 0.000, 0.500)
Os (0.500, 0.500, 0.500)
O (0.000, 0.000, 0.000)

- Mass density: 15.70 Mg/m³
- Raw total energy: -40.112 eV/cell
- DOS at the Fermi energy: 5.13 states/eV/cell
- Total magnetic moment: 0.00 Bohr magnetons per cell


# SbH2OsO

A relaxed structure of SbH2OsO (GGA-PBE, Alexandria).

Lattice parameters (Å, degrees): 3.348 3.348 5.325 90.00 90.00 90.00
Fractional coordinates of all 5 atoms:
Sb (0.000, 0.000, 0.000)
H (0.000, 0.500, 0.500)
H (0.500, 0.000, 0.500)
Os (0.000, 0.000, 0.500)
O (0.500, 0.500, 0.000)

- Mass density: 9.18 Mg/m³
- Raw total energy: -25.999 eV/cell
- DOS at the Fermi energy: 3.82 states/eV/cell
- Total magnetic moment: 0.67 Bohr magnetons per cell


# SrH2OsO4

A relaxed structure of SrH2OsO4 (GGA-PBE, Alexandria).

Lattice parameters (Å, degrees): 5.094 5.094 5.094 122.25 110.75 96.44
Fractional coordinates of all 8 atoms:
Sr (0.000, 0.000, 0.000)
H (0.331, 0.831, 0.500)
H (0.669, 0.169, 0.500)
Os (0.500, 0.500, 0.000)
O (0.233, 0.043, 0.633)
O (0.411, 0.600, 0.367)
O (0.589, 0.957, 0.190)
O (0.767, 0.400, 0.810)

- Mass density: 5.91 Mg/m³
- Raw total energy: -49.380 eV/cell
- DOS at the Fermi energy: 3.59 states/eV/cell
- Total magnetic moment: 0.00 Bohr magnetons per cell


# SrHOsO6

A relaxed structure of SrHOsO6 (GGA-PBE, Alexandria).

Lattice parameters (Å, degrees): 5.100 5.211 5.332 82.75 85.31 67.26
Fractional coordinates of all 9 atoms:
Sr (0.000, 0.000, 0.000)
H (0.581, 0.791, 0.791)
Os (0.375, 0.331, 0.576)
O (0.121, 0.183, 0.541)
O (0.138, 0.486, 0.873)
O (0.250, 0.636, 0.367)
O (0.528, 0.968, 0.867)
O (0.587, 0.437, 0.780)
O (0.663, 0.124, 0.391)

- Mass density: 4.80 Mg/m³
- Raw total energy: -57.631 eV/cell
- Total magnetic moment: 1.03 Bohr magnetons per cell


# TcHOsO2

A relaxed structure of TcHOsO2 (GGA-PBE, Alexandria).

Lattice parameters (Å, degrees): 3.819 3.819 3.286 90.00 90.00 90.00
Fractional coordinates of all 5 atoms:
Tc (0.000, 0.000, 0.000)
H (0.500, 0.500, 0.500)
Os (0.500, 0.500, 0.000)
O (0.000, 0.500, 0.500)
O (0.500, 0.000, 0.500)

- Mass density: 11.13 Mg/m³
- Raw total energy: -30.245 eV/cell
- DOS at the Fermi energy: 4.59 states/eV/cell
- Total magnetic moment: 0.00 Bohr magnetons per cell


# TlHOs2O8

A relaxed structure of TlHOs2O8 (GGA-PBE, Alexandria).

Lattice parameters (Å, degrees): 6.514 6.514 7.494 115.87 115.87 47.42
Fractional coordinates of all 12 atoms:
Tl (0.000, 0.000, 0.000)
H (0.500, 0.500, 0.500)
Os (0.186, 0.186, 0.658)
Os (0.814, 0.814, 0.342)
O (0.165, 0.628, 0.321)
O (0.170, 0.170, 0.411)
O (0.347, 0.347, 0.840)
O (0.372, 0.835, 0.679)
O (0.628, 0.165, 0.321)
O (0.653, 0.653, 0.160)
O (0.830, 0.830, 0.589)
O (0.835, 0.372, 0.679)

- Mass density: 5.76 Mg/m³
- Raw total energy: -76.027 eV/cell
- DOS at the Fermi energy: 3.71 states/eV/cell
- Total magnetic moment: 0.00 Bohr magnetons per cell


# TlHOsO6

A relaxed structure of TlHOsO6 (GGA-PBE, Alexandria).

Lattice parameters (Å, degrees): 4.947 5.373 5.542 61.36 84.58 82.24
Fractional coordinates of all 9 atoms:
Tl (0.000, 0.000, 0.000)
H (0.065, 0.538, 0.989)
Os (0.517, 0.315, 0.336)
O (0.217, 0.653, 0.983)
O (0.242, 0.343, 0.552)
O (0.378, 0.111, 0.212)
O (0.651, 0.641, 0.240)
O (0.735, 0.058, 0.588)
O (0.822, 0.349, 0.025)

- Mass density: 6.38 Mg/m³
- Raw total energy: -53.558 eV/cell
- Total magnetic moment: 0.00 Bohr magnetons per cell